(1)
Density functional theory data (GGA-PBE) for a geometry-optimized CaReSi2 structure.

- symmetry = C2/m
- formation energy (no corrections) (eV/f.u.) = -0.99

Structure (POSCAR):
```
CaReSi2
1.0
3.979 -1.743 0.000
3.979 1.743 0.000
-1.610 0.000 5.425
Ca Re Si
1 1 2
Direct
0.000 0.000 0.000 Ca
0.500 0.500 0.500 Re
0.231 0.231 0.647 Si
0.769 0.769 0.353 Si
```

=====

(2)
Density functional theory data (GGA-PBE) for a geometry-optimized Li4Mn2Zn structure.

- final energy (eV/atom) = -3.3156
- symmetry = I4/mmm

Structure (POSCAR):
```
Li4Mn2Zn
1.0
-2.289 2.289 6.812
2.289 -2.289 6.812
2.289 2.289 -6.812
Li Mn Zn
4 2 1
Direct
0.000 0.500 0.500 Li
0.189 0.189 0.000 Li
0.500 0.000 0.500 Li
0.811 0.811 0.000 Li
0.399 0.399 0.000 Mn
0.601 0.601 0.000 Mn
0.000 0.000 0.000 Zn
```

=====

(3)
Density functional theory data (GGA-PBE) for a geometry-optimized La3AlTl structure.

- final energy (eV/atom) = -4.4424
- symmetry = Cmcm

Structure (POSCAR):
```
La3AlTl
1.0
2.808 -9.696 0.000
2.808 9.696 0.000
0.000 0.000 5.663
La Al Tl
6 2 2
Direct
0.051 0.949 0.750 La
0.245 0.755 0.750 La
0.432 0.568 0.750 La
0.568 0.432 0.250 La
0.755 0.245 0.250 La
0.949 0.051 0.250 La
0.148 0.852 0.250 Al
0.852 0.148 0.750 Al
0.350 0.650 0.250 Tl
0.650 0.350 0.750 Tl
```

=====

(4)
Density functional theory data (GGA-PBE) for a geometry-optimized La5Fe2Hg2 structure.

- final energy (eV/atom) = -4.8225
- symmetry = Cmce

Structure (POSCAR):
```
La5Fe2Hg2
1.0
8.501 -3.827 0.000
8.501 3.827 0.000
0.000 0.000 7.776
La Fe Hg
10 4 4
Direct
0.000 0.000 0.000 La
0.060 0.698 0.681 La
0.198 0.560 0.181 La
0.302 0.940 0.681 La
0.440 0.802 0.181 La
0.500 0.500 0.500 La
0.560 0.198 0.819 La
0.698 0.060 0.319 La
0.802 0.440 0.819 La
0.940 0.302 0.319 La
0.105 0.895 0.398 Fe
0.395 0.605 0.898 Fe
0.605 0.395 0.102 Fe
0.895 0.105 0.602 Fe
0.223 0.223 0.000 Hg
0.277 0.277 0.500 Hg
0.723 0.723 0.500 Hg
0.777 0.777 0.000 Hg
```

=====

(5)
Density functional theory data (GGA-PBE) for a geometry-optimized LaTbEr2Bi4 structure.

- final energy (eV/atom) = -5.1587
- symmetry = P2/m

Structure (POSCAR):
```
LaTbEr2Bi4
1.0
7.830 0.000 0.000
0.000 4.534 0.000
-2.617 0.000 7.389
La Tb Er Bi
1 1 2 4
Direct
0.000 0.000 0.000 La
0.000 0.500 0.500 Tb
0.500 0.000 0.500 Er
0.500 0.500 0.000 Er
0.257 0.000 0.747 Bi
0.261 0.500 0.259 Bi
0.739 0.500 0.741 Bi
0.743 0.000 0.253 Bi
```

=====

(6)
Density functional theory data (GGA-PBE) for a geometry-optimized Ac3Se3O structure.

- symmetry = Pnma
- formation energy (no corrections) (eV/f.u.) = -16.31

Structure (POSCAR):
```
Ac3Se3O
1.0
12.720 0.000 0.000
0.000 4.396 0.000
0.000 0.000 14.077
Ac Se O
12 12 4
Direct
0.028 0.250 0.159 Ac
0.103 0.250 0.613 Ac
0.239 0.250 0.873 Ac
0.261 0.750 0.373 Ac
0.397 0.750 0.113 Ac
0.472 0.750 0.659 Ac
0.528 0.250 0.341 Ac
0.603 0.250 0.887 Ac
0.739 0.250 0.627 Ac
0.761 0.750 0.127 Ac
0.897 0.750 0.387 Ac
0.972 0.750 0.841 Ac
0.072 0.250 0.387 Se
0.145 0.750 0.012 Se
0.230 0.750 0.715 Se
0.270 0.250 0.215 Se
0.355 0.250 0.512 Se
0.428 0.750 0.887 Se
0.572 0.250 0.113 Se
0.645 0.750 0.488 Se
0.730 0.750 0.785 Se
0.770 0.250 0.285 Se
0.855 0.250 0.988 Se
0.928 0.750 0.613 Se
0.055 0.250 0.803 O
0.445 0.750 0.303 O
0.555 0.250 0.697 O
0.945 0.750 0.197 O
```